[1]
A PBEsol-optimized structure of PtRhI2, computed with SCAN.

Cell lengths 4.8340, 4.8340, 4.8340 Å; angles 60.00, 60.00, 60.00 degrees
Positions (direct):
Pt (0.0000, 0.0000, 0.0000)
Rh (0.5000, 0.5000, 0.5000)
I (0.2500, 0.2500, 0.2500)
I (0.7500, 0.7500, 0.7500)

* D(E_F): 2.9 states/eV/cell
* total magnetic moment: 0.00 μB/f.u.
* formation energy (no corrections): 339.9 kJ/mol of formula units

***

[2]
A PBEsol-optimized structure of TcPt2RhI, computed with SCAN.

Cell lengths 4.8024, 4.8024, 4.8228 Å; angles 90.00, 90.00, 90.00 degrees
Positions (direct):
Tc (0.0000, 0.0000, 0.0000)
Pt (0.0000, 0.5000, 0.5000)
Pt (0.5000, 0.0000, 0.5000)
Rh (0.5000, 0.5000, 0.0000)
I (0.0000, 0.0000, 0.5000)

* D(E_F): 2.8 states/eV/cell
* total magnetic moment: 4.48 μB/f.u.
* formation energy (no corrections): 885.3 kJ/mol of formula units

***

[3]
A PBEsol-optimized structure of Te2PtRhI, computed with SCAN.

Cell lengths 5.1801, 5.1801, 5.3069 Å; angles 90.00, 90.00, 90.00 degrees
Positions (direct):
Te (0.0000, 0.5000, 0.0000)
Te (0.5000, 0.0000, 0.0000)
Pt (0.0000, 0.0000, 0.0000)
Rh (0.5000, 0.5000, 0.5000)
I (0.0000, 0.0000, 0.5000)

* D(E_F): 5.0 states/eV/cell
* total magnetic moment: 3.50 μB/f.u.
* formation energy (no corrections): 416.8 kJ/mol of formula units

***

[4]
A PBEsol-optimized structure of PtSeS2I, computed with SCAN.

Cell lengths 4.9385, 4.9385, 5.0293 Å; angles 90.00, 90.00, 90.00 degrees
Positions (direct):
Pt (0.0000, 0.0000, 0.0000)
Se (0.5000, 0.5000, 0.0000)
S (0.0000, 0.5000, 0.5000)
S (0.5000, 0.0000, 0.5000)
I (0.0000, 0.0000, 0.5000)

* D(E_F): 2.8 states/eV/cell
* total magnetic moment: 2.16 μB/f.u.
* formation energy (no corrections): 667.4 kJ/mol of formula units

***

[5]
A PBEsol-optimized structure of SbPtSeI2, computed with SCAN.

Cell lengths 5.2931, 5.2931, 5.2458 Å; angles 90.00, 90.00, 90.00 degrees
Positions (direct):
Sb (0.0000, 0.0000, 0.0000)
Pt (0.0000, 0.0000, 0.5000)
Se (0.5000, 0.5000, 0.0000)
I (0.0000, 0.5000, 0.5000)
I (0.5000, 0.0000, 0.5000)

* D(E_F): 4.9 states/eV/cell
* total magnetic moment: 0.00 μB/f.u.
* formation energy (no corrections): 218.5 kJ/mol of formula units

***

[6]
A PBEsol-optimized structure of SbTe2PtI, computed with SCAN.

Cell lengths 5.6409, 5.6409, 5.5727 Å; angles 90.00, 90.00, 90.00 degrees
Positions (direct):
Sb (0.0000, 0.0000, 0.0000)
Te (0.0000, 0.5000, 0.0000)
Te (0.5000, 0.0000, 0.0000)
Pt (0.5000, 0.5000, 0.5000)
I (0.0000, 0.0000, 0.5000)

* D(E_F): 5.8 states/eV/cell
* total magnetic moment: 1.68 μB/f.u.
* formation energy (no corrections): 593.9 kJ/mol of formula units

***

[7]
A PBEsol-optimized structure of YSbPtI2, computed with SCAN.

Cell lengths 5.2501, 5.2501, 5.4318 Å; angles 90.00, 90.00, 90.00 degrees
Positions (direct):
Y (0.0000, 0.0000, 0.0000)
Sb (0.5000, 0.5000, 0.0000)
Pt (0.5000, 0.5000, 0.5000)
I (0.0000, 0.5000, 0.5000)
I (0.5000, 0.0000, 0.5000)

* D(E_F): 2.0 states/eV/cell
* total magnetic moment: 0.00 μB/f.u.
* formation energy (no corrections): -47.1 kJ/mol of formula units

***

[8]
A PBEsol-optimized structure of ZrSb2PtI, computed with SCAN.

Cell lengths 5.1482, 5.1482, 5.2578 Å; angles 90.00, 90.00, 90.00 degrees
Positions (direct):
Zr (0.0000, 0.0000, 0.0000)
Sb (0.0000, 0.5000, 0.5000)
Sb (0.5000, 0.0000, 0.5000)
Pt (0.5000, 0.5000, 0.5000)
I (0.5000, 0.5000, 0.0000)

* D(E_F): 3.8 states/eV/cell
* total magnetic moment: 0.83 μB/f.u.
* formation energy (no corrections): 229.3 kJ/mol of formula units

***

[9]
A PBEsol-optimized structure of ScPtI2, computed with SCAN.

Cell lengths 7.4810, 7.4810, 7.4810 Å; angles 128.91, 128.91, 75.16 degrees
Positions (direct):
Sc (0.0000, 0.0000, 0.0000)
Sc (0.7500, 0.2500, 0.5000)
Pt (0.2500, 0.7500, 0.5000)
Pt (0.5000, 0.5000, 0.0000)
I (0.1460, 0.6250, 0.0210)
I (0.3750, 0.3960, 0.5210)
I (0.6040, 0.1250, 0.9790)
I (0.8750, 0.8540, 0.4790)

* D(E_F): 4.4 states/eV/cell
* total magnetic moment: 0.89 μB/f.u.
* formation energy (no corrections): -33.2 kJ/mol of formula units

***

[10]
A PBEsol-optimized structure of PtSe2I, computed with SCAN.

Cell lengths 8.3306, 8.3306, 8.3306 Å; angles 26.94, 26.94, 26.94 degrees
Positions (direct):
Pt (0.0000, 0.0000, 0.0000)
Se (0.3835, 0.3835, 0.3835)
Se (0.6165, 0.6165, 0.6165)
I (0.5000, 0.5000, 0.5000)

* D(E_F): 1.5 states/eV/cell
* total magnetic moment: 0.00 μB/f.u.
* formation energy (no corrections): -87.7 kJ/mol of formula units

***

[11]
A PBEsol-optimized structure of Te2PtSeI, computed with SCAN.

Cell lengths 5.3688, 5.3688, 5.2568 Å; angles 90.00, 90.00, 90.00 degrees
Positions (direct):
Te (0.0000, 0.5000, 0.0000)
Te (0.5000, 0.0000, 0.0000)
Pt (0.0000, 0.0000, 0.5000)
Se (0.5000, 0.5000, 0.0000)
I (0.5000, 0.5000, 0.5000)

* D(E_F): 5.1 states/eV/cell
* total magnetic moment: 1.61 μB/f.u.
* formation energy (no corrections): 584.4 kJ/mol of formula units

***

[12]
A PBEsol-optimized structure of SiPt2I, computed with SCAN.

Cell lengths 4.6428, 4.6428, 4.6428 Å; angles 60.00, 60.00, 60.00 degrees
Positions (direct):
Si (0.0000, 0.0000, 0.0000)
Pt (0.2500, 0.2500, 0.2500)
Pt (0.7500, 0.7500, 0.7500)
I (0.5000, 0.5000, 0.5000)

* D(E_F): 1.3 states/eV/cell
* total magnetic moment: 0.00 μB/f.u.
* formation energy (no corrections): 223.5 kJ/mol of formula units

***

[13]
A PBEsol-optimized structure of SiTe2PtI, computed with SCAN.

Cell lengths 5.2231, 5.2231, 5.3159 Å; angles 90.00, 90.00, 90.00 degrees
Positions (direct):
Si (0.0000, 0.0000, 0.0000)
Te (0.0000, 0.5000, 0.5000)
Te (0.5000, 0.0000, 0.5000)
Pt (0.5000, 0.5000, 0.5000)
I (0.5000, 0.5000, 0.0000)

* D(E_F): 4.1 states/eV/cell
* total magnetic moment: 0.00 μB/f.u.
* formation energy (no corrections): 313.7 kJ/mol of formula units

***

[14]
A PBEsol-optimized structure of SnPtI2, computed with SCAN.

Cell lengths 5.2147, 5.2147, 5.2147 Å; angles 60.00, 60.00, 60.00 degrees
Positions (direct):
Sn (0.0000, 0.0000, 0.0000)
Pt (0.5000, 0.5000, 0.5000)
I (0.2500, 0.2500, 0.2500)
I (0.7500, 0.7500, 0.7500)

* D(E_F): 3.4 states/eV/cell
* total magnetic moment: 0.00 μB/f.u.
* formation energy (no corrections): 240.3 kJ/mol of formula units

***

[15]
A PBEsol-optimized structure of Sn2Pt2I, computed with SCAN.

Cell lengths 8.5607, 8.5607, 8.5607 Å; angles 153.85, 153.85, 37.32 degrees
Positions (direct):
Sn (0.1324, 0.1324, 0.0000)
Sn (0.8676, 0.8676, 0.0000)
Pt (0.2500, 0.7500, 0.5000)
Pt (0.7500, 0.2500, 0.5000)
I (0.5000, 0.5000, 0.0000)

* D(E_F): 2.2 states/eV/cell
* total magnetic moment: 0.00 μB/f.u.
* formation energy (no corrections): -117.6 kJ/mol of formula units

***

[16]
A PBEsol-optimized structure of TaPt2I, computed with SCAN.

Cell lengths 4.6943, 4.6943, 4.6943 Å; angles 60.00, 60.00, 60.00 degrees
Positions (direct):
Ta (0.0000, 0.0000, 0.0000)
Pt (0.2500, 0.2500, 0.2500)
Pt (0.7500, 0.7500, 0.7500)
I (0.5000, 0.5000, 0.5000)

* D(E_F): 1.8 states/eV/cell
* total magnetic moment: 0.00 μB/f.u.
* formation energy (no corrections): 182.9 kJ/mol of formula units

***

[17]
A PBEsol-optimized structure of TaPt3I, computed with SCAN.

Cell lengths 4.8202, 4.8202, 4.8202 Å; angles 90.00, 90.00, 90.00 degrees
Positions (direct):
Ta (0.0000, 0.0000, 0.0000)
Pt (0.0000, 0.5000, 0.5000)
Pt (0.5000, 0.0000, 0.5000)
Pt (0.5000, 0.5000, 0.0000)
I (0.5000, 0.5000, 0.5000)

* D(E_F): 3.9 states/eV/cell
* total magnetic moment: 2.45 μB/f.u.
* formation energy (no corrections): 794.6 kJ/mol of formula units

***

[18]
A PBEsol-optimized structure of Tb7PtI12, computed with SCAN.

Cell lengths 11.1712, 11.1712, 11.1712 Å; angles 116.79, 116.79, 116.79 degrees
Positions (direct):
Tb (0.0000, 0.0000, 0.0000)
Tb (0.1810, 0.5669, 0.7113)
Tb (0.2887, 0.8190, 0.4331)
Tb (0.4331, 0.2887, 0.8190)
Tb (0.5669, 0.7113, 0.1810)
Tb (0.7113, 0.1810, 0.5669)
Tb (0.8190, 0.4331, 0.2887)
Pt (0.5000, 0.5000, 0.5000)
I (0.0741, 0.2284, 0.6412)
I (0.0855, 0.3844, 0.3116)
I (0.2284, 0.6412, 0.0741)
I (0.3116, 0.0855, 0.3844)
I (0.3588, 0.9259, 0.7716)
I (0.3844, 0.3116, 0.0855)
I (0.6156, 0.6884, 0.9145)
I (0.6412, 0.0741, 0.2284)
I (0.6884, 0.9145, 0.6156)
I (0.7716, 0.3588, 0.9259)
I (0.9145, 0.6156, 0.6884)
I (0.9259, 0.7716, 0.3588)

* D(E_F): 8.1 states/eV/cell
* total magnetic moment: 0.00 μB/f.u.
* formation energy (no corrections): -1690.7 kJ/mol of formula units

***

[19]
A PBEsol-optimized structure of Tc3PtI, computed with SCAN.

Cell lengths 4.7618, 4.7618, 4.7618 Å; angles 90.00, 90.00, 90.00 degrees
Positions (direct):
Tc (0.0000, 0.0000, 0.5000)
Tc (0.0000, 0.5000, 0.0000)
Tc (0.5000, 0.0000, 0.0000)
Pt (0.0000, 0.0000, 0.0000)
I (0.5000, 0.5000, 0.5000)

* D(E_F): 7.3 states/eV/cell
* total magnetic moment: 7.41 μB/f.u.
* formation energy (no corrections): 911.2 kJ/mol of formula units

***

[20]
A PBEsol-optimized structure of TcTePtI2, computed with SCAN.

Cell lengths 5.2569, 5.2569, 4.9854 Å; angles 90.00, 90.00, 90.00 degrees
Positions (direct):
Tc (0.0000, 0.0000, 0.0000)
Te (0.0000, 0.0000, 0.5000)
Pt (0.5000, 0.5000, 0.5000)
I (0.0000, 0.5000, 0.0000)
I (0.5000, 0.0000, 0.0000)

* D(E_F): 4.4 states/eV/cell
* total magnetic moment: 0.80 μB/f.u.
* formation energy (no corrections): 560.5 kJ/mol of formula units

***

[21]
A PBEsol-optimized structure of TePt3I, computed with SCAN.

Cell lengths 4.9401, 4.9401, 4.9401 Å; angles 90.00, 90.00, 90.00 degrees
Positions (direct):
Te (0.0000, 0.0000, 0.0000)
Pt (0.0000, 0.5000, 0.5000)
Pt (0.5000, 0.0000, 0.5000)
Pt (0.5000, 0.5000, 0.0000)
I (0.5000, 0.5000, 0.5000)

* D(E_F): 4.6 states/eV/cell
* total magnetic moment: 0.00 μB/f.u.
* formation energy (no corrections): 583.5 kJ/mol of formula units

***

[22]
A PBEsol-optimized structure of TePtWI2, computed with SCAN.

Cell lengths 5.2201, 5.2201, 5.2174 Å; angles 90.00, 90.00, 90.00 degrees
Positions (direct):
Te (0.0000, 0.0000, 0.0000)
Pt (0.5000, 0.5000, 0.0000)
W (0.0000, 0.0000, 0.5000)
I (0.0000, 0.5000, 0.5000)
I (0.5000, 0.0000, 0.5000)

* D(E_F): 5.8 states/eV/cell
* total magnetic moment: 0.00 μB/f.u.
* formation energy (no corrections): 680.5 kJ/mol of formula units

***

[23]
A PBEsol-optimized structure of ZnTePtI2, computed with SCAN.

Cell lengths 5.2032, 5.2032, 5.2377 Å; angles 90.00, 90.00, 90.00 degrees
Positions (direct):
Zn (0.0000, 0.0000, 0.0000)
Te (0.0000, 0.0000, 0.5000)
Pt (0.5000, 0.5000, 0.5000)
I (0.0000, 0.5000, 0.0000)
I (0.5000, 0.0000, 0.0000)

* D(E_F): 4.7 states/eV/cell
* total magnetic moment: 1.27 μB/f.u.
* formation energy (no corrections): 470.6 kJ/mol of formula units

***

[24]
A PBEsol-optimized structure of Ti3PtI, computed with SCAN.

Cell lengths 4.8401, 4.8401, 4.8401 Å; angles 90.00, 90.00, 90.00 degrees
Positions (direct):
Ti (0.0000, 0.0000, 0.5000)
Ti (0.0000, 0.5000, 0.0000)
Ti (0.5000, 0.0000, 0.0000)
Pt (0.0000, 0.0000, 0.0000)
I (0.5000, 0.5000, 0.5000)

* D(E_F): 4.9 states/eV/cell
* total magnetic moment: 3.27 μB/f.u.
* formation energy (no corrections): 56.7 kJ/mol of formula units

***

[25]
A PBEsol-optimized structure of TiPt3I, computed with SCAN.

Cell lengths 4.8601, 4.8601, 4.8601 Å; angles 90.00, 90.00, 90.00 degrees
Positions (direct):
Ti (0.0000, 0.0000, 0.0000)
Pt (0.0000, 0.5000, 0.5000)
Pt (0.5000, 0.0000, 0.5000)
Pt (0.5000, 0.5000, 0.0000)
I (0.5000, 0.5000, 0.5000)

* D(E_F): 3.7 states/eV/cell
* total magnetic moment: 2.19 μB/f.u.
* formation energy (no corrections): 503.4 kJ/mol of formula units

***

[26]
A PBEsol-optimized structure of Tl3PtI, computed with SCAN.

Cell lengths 5.3180, 5.3180, 5.3180 Å; angles 90.00, 90.00, 90.00 degrees
Positions (direct):
Tl (0.0000, 0.0000, 0.5000)
Tl (0.0000, 0.5000, 0.0000)
Tl (0.5000, 0.0000, 0.0000)
Pt (0.0000, 0.0000, 0.0000)
I (0.5000, 0.5000, 0.5000)

* D(E_F): 0.3 states/eV/cell
* total magnetic moment: 0.00 μB/f.u.
* formation energy (no corrections): -203.9 kJ/mol of formula units

***

[27]
A PBEsol-optimized structure of PtWI2, computed with SCAN.

Cell lengths 4.8117, 4.8117, 4.8117 Å; angles 60.00, 60.00, 60.00 degrees
Positions (direct):
Pt (0.0000, 0.0000, 0.0000)
W (0.5000, 0.5000, 0.5000)
I (0.2500, 0.2500, 0.2500)
I (0.7500, 0.7500, 0.7500)

* D(E_F): 2.6 states/eV/cell
* total magnetic moment: 0.00 μB/f.u.
* formation energy (no corrections): 552.7 kJ/mol of formula units

***

[28]
A PBEsol-optimized structure of Y6PtI10, computed with SCAN.

Cell lengths 7.5214, 9.4780, 9.5068 Å; angles 107.28, 96.96, 104.80 degrees
Positions (direct):
Y (0.0303, 0.2079, 0.4117)
Y (0.1169, 0.5398, 0.2532)
Y (0.3568, 0.6280, 0.6682)
Y (0.6432, 0.3720, 0.3318)
Y (0.8831, 0.4602, 0.7468)
Y (0.9697, 0.7921, 0.5883)
Pt (0.0000, 0.5000, 0.5000)
I (0.0881, 0.8740, 0.3153)
I (0.2181, 0.2348, 0.1438)
I (0.2671, 0.5896, 0.9670)
I (0.3615, 0.9605, 0.7759)
I (0.4518, 0.3113, 0.5945)
I (0.5482, 0.6887, 0.4055)
I (0.6385, 0.0395, 0.2241)
I (0.7329, 0.4104, 0.0330)
I (0.7819, 0.7652, 0.8562)
I (0.9119, 0.1260, 0.6847)

* total magnetic moment: 0.00 μB/f.u.
* formation energy (no corrections): -2450.1 kJ/mol of formula units